1.
Here is a relaxed structure of RbLiPPd from Alexandria. Energies are from PBE.

a b c (Å): 6.6402 6.6402 6.6402
angles (deg): 37.03 37.03 37.03
Last column: nearest neighbours and their distance in Å.
Atoms (fractional coordinates):
Rb: 0.0000 0.0000 0.0000  4 Li 3.37-3.72, 4 P 3.56-3.57, 3 Pd 3.63
Li: 0.8183 0.8183 0.8183  3 Pd 2.53, 3 P 2.55
P: 0.1923 0.1923 0.1923  3 Pd 2.44, 3 Li 2.55
Pd: 0.5212 0.5212 0.5212  3 P 2.44, 3 Li 2.53

Summary:
**Total magnetic moment**: 0.00 μB per formula unit
**Raw total energy**: -3.868 eV/atom

2.
Here is a relaxed structure of LiFeCu2 from Alexandria. Energies are from PBE.

a b c (Å): 2.4783 2.4783 8.6820
angles (deg): 90.00 90.00 113.10
Last column: nearest neighbours and their distance in Å.
Atoms (fractional coordinates):
Li: 0.0000 0.0000 0.0000  6 Li 2.48-2.73, 2 Cu 2.57, 2 Fe 2.63
Fe: 0.5000 0.5000 0.7418  6 Fe 2.48-2.73, 2 Cu 2.53, 2 Li 2.63
Cu: 0.0000 0.0000 0.4971  8 Cu 2.48-2.73, 2 Fe 2.53
Cu: 0.5000 0.5000 0.2509  8 Cu 2.48-2.73, 2 Li 2.57

Summary:
**Total magnetic moment**: 2.44 μB per formula unit
**Raw total energy**: -4.520 eV/atom